ScReW4 after structural relaxation, computed with PBE.

Results
M_tot in μB/atom: 0.000
Raw total energy in eV/atom: -11.52
N(E_F) in states/eV per cell: 6.8
Symmetry: F-43m

a b c (Å): 5.2829 5.2829 5.2829
angles (deg): 60.00 60.00 60.00
Atoms (fractional coordinates):
Sc (0.0000, 0.0000, 0.0000)
Re (0.7500, 0.7500, 0.7500)
W (0.8750, 0.3750, 0.3750)
W (0.3750, 0.3750, 0.8750)
W (0.3750, 0.8750, 0.3750)
W (0.3750, 0.3750, 0.3750)